Record 1
The following is a DFT calculation (GGA-PBE) of a geometry-optimized ThCuF6 structure.

Computed properties:
- V: 108.4 Å³ per cell
- SG: C2/m, No. 12
- Raw formation energy: -3.023 eV per atom

a = 4.612 Å, b = 4.612 Å, c = 5.429 Å
α = 93.66°, β = 93.66°, γ = 109.16°
Fractional coordinates of all 8 atoms:
Th 0.000 0.000 0.000
Cu 0.500 0.500 0.500
F 0.154 0.489 0.205
F 0.206 0.206 0.657
F 0.489 0.154 0.205
F 0.511 0.846 0.795
F 0.794 0.794 0.343
F 0.846 0.511 0.795

Record 2
The following is a DFT calculation (GGA-PBE) of a geometry-optimized TiCuF3 structure.

Computed properties:
- V: 66.0 Å³ per cell
- SG: Pm-3m, No. 221
- Raw formation energy: -1.915 eV per atom
- Polymorph energy (0 for the lowest one): 0 meV/atom

a = 4.042 Å, b = 4.042 Å, c = 4.042 Å
α = 90.00°, β = 90.00°, γ = 90.00°
Fractional coordinates of all 5 atoms:
Ti 0.000 0.000 0.000
Cu 0.500 0.500 0.500
F 0.000 0.000 0.500
F 0.000 0.500 0.000
F 0.500 0.000 0.000